! KMoO2, relaxed, DFT PBE+U; values from VASP
&SYSTEM
  ibrav = 0, nat = 8, ntyp = 3
/
ATOMIC_SPECIES
K 39.10 K.upf
Mo 95.94 Mo.upf
O 16.00 O.upf
ATOMIC_POSITIONS angstrom
K 0.000 0.000 0.000
K 0.000 2.589 2.897
Mo 2.589 0.000 2.897
Mo 0.000 0.000 5.794
O 1.295 -0.696 4.345
O 1.893 1.295 1.448
O 1.295 3.285 -1.448
O 0.696 1.295 7.242
CELL_PARAMETERS angstrom
-2.589 2.589 5.794
2.589 -2.589 5.794
2.589 2.589 -5.794
! * theoretical density: 3.6 Mg/m³
! * E: -5.75 eV/atom
! * space-group type: I-42d, No. 122
! * density of states at the Fermi level: 0.01 states/eV/atom